Density functional theory data (PBE-GGA) for NdHfTiIr2 after structural relaxation.

DFT formation energy in eV/atom: -0.792
Total moment in μB/f.u.: 0.0

abc: 4.3856 4.3856 10.9912
angles: 90.00 90.00 90.00
Space group I-4m2 (No. 119)
Inequivalent atoms, fractional coordinates:
Nd: 0.0000 0.0000 0.0000 (multiplicity 2)
Hf: 0.0000 0.5000 0.2500 (multiplicity 2)
Ti: 0.0000 0.5000 0.7500 (multiplicity 2)
Ir: 0.0000 0.0000 0.3807 (multiplicity 4)